NdDyAsO2 | Alexandria via LeMat-Bulk | PBE | relaxed; final energy = -7.40 eV/atom; SG = I4mm (107); magnetic moment = 0.0 μB per formula unit
1.0
-1.931 1.931 6.550
1.931 -1.931 6.550
1.931 1.931 -6.550
Nd Dy As O
1 1 1 2
Direct
0.000 0.000 0.000 Nd
0.318 0.318 0.000 Dy
0.659 0.659 0.000 As
0.402 0.902 0.500 O
0.902 0.402 0.500 O